Entry 1:
This record from Alexandria via LeMat-Bulk describes a relaxed structure of Hf3Zn2Cu4. The functional is GGA-PBE.

Theoretical density (g/cm³): 10.88
Crystal system: monoclinic
Offset from the most stable computed form (eV/atom): 0.000
Energy of formation from the pure elements (eV/atom): -0.17
E_tot (eV per atom): -5.59

Lattice parameters (Å, degrees): 9.5101 4.3580 8.0526 90.00 122.63 90.00
Space group C2/m (No. 12)
Asymmetric unit:
Hf: 0.0000 0.0000 0.0000
Hf: 0.1642 0.5000 0.6713
Zn: 0.1161 0.5000 0.2827
Cu: 0.0561 0.0000 0.3896
Cu: 0.2240 0.5000 0.0572

=====

Entry 2:
This record from Alexandria via LeMat-Bulk describes a relaxed structure of Ta2ZnSe. The functional is GGA-PBE.

Theoretical density (g/cm³): 11.70
Crystal system: monoclinic
Offset from the most stable computed form (eV/atom): 0.079
E_tot (eV per atom): -7.07

Lattice parameters (Å, degrees): 3.0460 4.7651 5.1774 90.00 107.09 90.00
Space group Pm (No. 6)
Asymmetric unit:
Ta: 0.0000 0.0000 0.0000
Ta: 0.3573 0.5000 0.7198
Zn: 0.6202 0.5000 0.2430
Se: 0.2813 0.0000 0.5625

=====

What did the first record say?
This record from Alexandria via LeMat-Bulk describes a relaxed structure of Hf3Zn2Cu4. The functional is GGA-PBE.

Theoretical density (g/cm³): 10.88
Crystal system: monoclinic
Offset from the most stable computed form (eV/atom): 0.000
Energy of formation from the pure elements (eV/atom): -0.17
E_tot (eV per atom): -5.59

Lattice parameters (Å, degrees): 9.5101 4.3580 8.0526 90.00 122.63 90.00
Space group C2/m (No. 12)
Asymmetric unit:
Hf: 0.0000 0.0000 0.0000
Hf: 0.1642 0.5000 0.6713
Zn: 0.1161 0.5000 0.2827
Cu: 0.0561 0.0000 0.3896
Cu: 0.2240 0.5000 0.0572